Record 1
The following is a PBE calculation of a relaxed structure of CaPuCuSi, from Alexandria via LeMat-Bulk. Values from VASP.

Results
Total magnetization = 5.2 μB per cell
Total DFT energy (no corrections) = -6.625 eV per atom
Raw formation energy = -0.16 eV per atom

```
&SYSTEM
  ibrav = 0, nat = 4, ntyp = 4
/
ATOMIC_SPECIES
Ca 40.08 Ca.upf
Pu 244.00 Pu.upf
Cu 63.55 Cu.upf
Si 28.09 Si.upf
CELL_PARAMETERS angstrom
0.000 3.516 3.516
3.516 0.000 3.516
3.516 3.516 0.000
ATOMIC_POSITIONS crystal
Ca 0.000 0.000 0.000
Pu 0.500 0.500 0.500
Cu 0.250 0.250 0.250
Si 0.750 0.750 0.750
```

=====

Record 2
The following is a PBE calculation of a relaxed structure of CaPuTlCu, from Alexandria via LeMat-Bulk. Values from VASP.

Results
Total magnetization = 5.8 μB per cell
ΔH_f (0 K) = 0.02 eV/atom
Total DFT energy (no corrections) = -5.678 eV per atom

```
&SYSTEM
  ibrav = 0, nat = 4, ntyp = 4
/
ATOMIC_SPECIES
Ca 40.08 Ca.upf
Pu 244.00 Pu.upf
Tl 204.38 Tl.upf
Cu 63.55 Cu.upf
CELL_PARAMETERS angstrom
0.000 3.720 3.720
3.720 0.000 3.720
3.720 3.720 0.000
ATOMIC_POSITIONS crystal
Ca 0.000 0.000 0.000
Pu 0.500 0.500 0.500
Tl 0.250 0.250 0.250
Cu 0.750 0.750 0.750
```

=====

Record 3
The following is a PBE calculation of a relaxed structure of RbCaCu2, from Alexandria via LeMat-Bulk. Values from VASP.

Results
Relative energy among the computed polymorphs = 0 meV/atom
Total magnetization = 0.0 μB per cell
ΔH_f (0 K) = 0.39 eV/atom
Total DFT energy (no corrections) = -2.397 eV per atom

```
&SYSTEM
  ibrav = 0, nat = 4, ntyp = 3
/
ATOMIC_SPECIES
Rb 85.47 Rb.upf
Ca 40.08 Ca.upf
Cu 63.55 Cu.upf
CELL_PARAMETERS angstrom
0.000 3.815 3.815
3.815 0.000 3.815
3.815 3.815 0.000
ATOMIC_POSITIONS crystal
Rb 0.000 0.000 0.000
Ca 0.500 0.500 0.500
Cu 0.250 0.250 0.250
Cu 0.750 0.750 0.750
```

=====

Record 4
The following is a PBE calculation of a relaxed structure of RbCa2Cu, from Alexandria via LeMat-Bulk. Values from VASP.

Results
Relative energy among the computed polymorphs = 0 meV/atom
Total magnetization = 0.0 μB per cell
ΔH_f (0 K) = 0.11 eV/atom
Total DFT energy (no corrections) = -2.156 eV per atom

```
&SYSTEM
  ibrav = 0, nat = 4, ntyp = 3
/
ATOMIC_SPECIES
Rb 85.47 Rb.upf
Ca 40.08 Ca.upf
Cu 63.55 Cu.upf
CELL_PARAMETERS angstrom
2.112 1.219 11.582
-2.112 1.219 11.582
0.000 -2.439 11.582
ATOMIC_POSITIONS crystal
Rb 0.000 0.000 0.000
Ca 0.121 0.121 0.121
Ca 0.879 0.879 0.879
Cu 0.500 0.500 0.500
```

=====

Record 5
The following is a PBE calculation of a relaxed structure of RbCa2Cu2, from Alexandria via LeMat-Bulk. Values from VASP.

Results
Relative energy among the computed polymorphs = 29 meV/atom
Total magnetization = 0.0 μB per cell
ΔH_f (0 K) = 0.18 eV/atom
Total DFT energy (no corrections) = -2.457 eV per atom

```
&SYSTEM
  ibrav = 0, nat = 5, ntyp = 3
/
ATOMIC_SPECIES
Rb 85.47 Rb.upf
Ca 40.08 Ca.upf
Cu 63.55 Cu.upf
CELL_PARAMETERS angstrom
-2.543 2.543 6.041
2.543 -2.543 6.041
2.543 2.543 -6.041
ATOMIC_POSITIONS crystal
Rb 0.000 0.000 0.000
Ca 0.250 0.750 0.500
Ca 0.750 0.250 0.500
Cu 0.396 0.396 0.000
Cu 0.604 0.604 0.000
```

=====

Record 6
The following is a PBE calculation of a relaxed structure of RbCa2Cu2, from Alexandria via LeMat-Bulk. Values from VASP.

Results
Relative energy among the computed polymorphs = 68 meV/atom
Total magnetization = 0.0 μB per cell
ΔH_f (0 K) = 0.21 eV/atom
Total DFT energy (no corrections) = -2.418 eV per atom

```
&SYSTEM
  ibrav = 0, nat = 10, ntyp = 3
/
ATOMIC_SPECIES
Rb 85.47 Rb.upf
Ca 40.08 Ca.upf
Cu 63.55 Cu.upf
CELL_PARAMETERS angstrom
9.037 0.000 0.000
0.000 9.037 0.000
0.000 0.000 3.551
ATOMIC_POSITIONS crystal
Rb 0.000 0.000 0.000
Rb 0.500 0.500 0.000
Ca 0.132 0.368 0.000
Ca 0.368 0.868 0.000
Ca 0.632 0.132 0.000
Ca 0.868 0.632 0.000
Cu 0.152 0.652 0.500
Cu 0.348 0.152 0.500
Cu 0.652 0.848 0.500
Cu 0.848 0.348 0.500
```

=====

Question: Which of these has the lowest total DFT energy (no corrections)?
Answer: CaPuCuSi

=====

Question: total magnetization of number 2 (CaPuTlCu)?
Answer: 5.8 μB per cell